Compound: Cr2RuC
Source: the Alexandria database
Functional: GGA-PBE
Structure: optimized geometry

Cell lengths 6.510, 6.510, 5.079 Å; angles 50.15, 50.15, 90.00 degrees
Sites, in units of the cell vectors:
C 0.500 0.500 0.000
C 0.250 0.750 0.500
Ru 0.000 0.000 0.000
Ru 0.750 0.250 0.500
Cr 0.231 0.625 0.250
Cr 0.875 0.769 0.750
Cr 0.519 0.125 0.250
Cr 0.375 0.481 0.750

Summary:
* total magnetization: 0.000 μB/atom
* D(E_F): 1.183 states/eV/atom
* ΔE_f: 0.30 eV/atom